This record from Alexandria describes crystalline CaYNi2Sb at its relaxed geometry. The functional is PBE.

```
data_CaYNi2Sb
_chemical_formula_sum 'Ca1 Y1 Ni2 Sb1'
_cell_length_a 4.577
_cell_length_b 5.840
_cell_length_c 4.577
_cell_angle_alpha 90.00
_cell_angle_beta 90.00
_cell_angle_gamma 90.00
_space_group_name_H-M_alt 'P 1'
_space_group_IT_number 1
_space_group_name_Hall 'P 1'
loop_
_atom_site_label
_atom_site_fract_x
_atom_site_fract_y
_atom_site_fract_z
Ni1 0.000 0.000 0.500
Ni2 0.500 0.000 0.000
Sb1 0.500 0.500 0.500
Y1 0.000 0.500 0.000
Ca1 0.000 0.000 0.000
```

## Properties
Fermi-level density of states = 2.226 states/eV per cell
Space group = P4/mmm, No. 123
Total energy = -3.9436 eV/atom